PBE CsTlF3, optimized geometry; final energy = -16.7 eV/cell; space-group type = No. 221
1.0
5.182 0.000 0.000
0.000 5.182 0.000
0.000 0.000 5.182
Cs Tl F
1 1 3
Cartesian
0.000 0.000 0.000
2.591 2.591 2.591
0.000 0.000 2.591
0.000 2.591 0.000
2.591 0.000 0.000

---

PBE Rb2NaUI6, optimized geometry; final energy = -71.4 eV/cell; space-group type = No. 14
1.0
8.495 0.000 0.000
0.000 8.948 0.000
-8.404 0.000 12.217
Rb Na U I
4 2 2 12
Cartesian
-0.207 0.700 3.031
-4.409 3.774 9.139
4.501 5.173 3.078
0.299 8.248 9.186
-4.202 0.000 6.108
0.000 4.474 0.000
4.248 0.000 0.000
0.046 4.474 6.108
-6.703 1.734 11.601
-2.501 2.739 5.492
-5.762 6.312 11.604
-1.560 7.109 5.496
-3.322 0.200 9.202
0.880 4.273 3.094
-0.788 4.674 9.123
3.414 8.747 3.014
1.651 1.838 6.720
5.853 2.635 0.612
2.593 6.208 6.724
6.795 7.213 0.616